# PrSmHoAg

Crystalline PrSmHoAg at its relaxed geometry (GGA-PBE, Alexandria via LeMat-Bulk).

a = 5.479 Å, b = 5.479 Å, c = 5.479 Å
α = 60.00°, β = 60.00°, γ = 60.00°
Positions (direct):
Pr (0.000, 0.000, 0.000)
Sm (0.500, 0.500, 0.500)
Ho (0.750, 0.750, 0.750)
Ag (0.250, 0.250, 0.250)

Energy of formation from the pure elements, eV per atom: 0.061
Density of states at the Fermi level, states/eV per cell: 3.91
Distance to the lowest polymorph of the same formula, eV per atom: 0.187
Raw total energy, eV/atom: -4.17

---

# InHg2S2

Crystalline InHg2S2 at its relaxed geometry (GGA-PBE, Alexandria via LeMat-Bulk).

a = 7.942 Å, b = 7.942 Å, c = 4.134 Å
α = 90.00°, β = 90.00°, γ = 90.00°
Positions (direct):
In (0.000, 0.000, 0.000)
In (0.500, 0.500, 0.000)
Hg (0.119, 0.381, 0.500)
Hg (0.381, 0.881, 0.500)
Hg (0.619, 0.119, 0.500)
Hg (0.881, 0.619, 0.500)
S (0.235, 0.735, 0.000)
S (0.265, 0.235, 0.000)
S (0.735, 0.765, 0.000)
S (0.765, 0.265, 0.000)

ΔE_f (raw), eV per atom: 0.0212
Density of states at the Fermi level, states/eV per cell: 5.20
Raw total energy, eV/atom: -2.30

---

# ZrGaCuAg

Crystalline ZrGaCuAg at its relaxed geometry (GGA-PBE, Alexandria via LeMat-Bulk).

a = 4.566 Å, b = 4.566 Å, c = 4.566 Å
α = 60.00°, β = 60.00°, γ = 60.00°
Positions (direct):
Zr (0.000, 0.000, 0.000)
Ga (0.250, 0.250, 0.250)
Cu (0.750, 0.750, 0.750)
Ag (0.500, 0.500, 0.500)

Energy of formation from the pure elements, eV per atom: -0.198
Density of states at the Fermi level, states/eV per cell: 1.52
Raw total energy, eV/atom: -4.83

---

# HfZrRh6

Crystalline HfZrRh6 at its relaxed geometry (GGA-PBE, Alexandria via LeMat-Bulk).

a = 6.603 Å, b = 6.603 Å, c = 6.741 Å
α = 92.33°, β = 92.33°, γ = 118.72°
Positions (direct):
Hf (0.000, 0.500, 0.000)
Hf (0.500, 0.000, 0.000)
Zr (0.000, 0.500, 0.500)
Zr (0.500, 0.000, 0.500)
Rh (0.081, 0.849, 0.788)
Rh (0.151, 0.919, 0.212)
Rh (0.205, 0.205, 0.544)
Rh (0.295, 0.295, 0.954)
Rh (0.348, 0.578, 0.284)
Rh (0.422, 0.652, 0.716)
Rh (0.578, 0.348, 0.284)
Rh (0.652, 0.422, 0.716)
Rh (0.705, 0.705, 0.046)
Rh (0.795, 0.795, 0.456)
Rh (0.849, 0.081, 0.788)
Rh (0.919, 0.151, 0.212)

Energy of formation from the pure elements, eV per atom: -0.495
Density of states at the Fermi level, states/eV per cell: 16.38
Raw total energy, eV/atom: -8.32

---

# KScTi2W

Crystalline KScTi2W at its relaxed geometry (GGA-PBE, Alexandria via LeMat-Bulk).

a = 4.931 Å, b = 4.931 Å, c = 5.386 Å
α = 90.00°, β = 90.00°, γ = 90.00°
Positions (direct):
K (0.000, 0.000, 0.000)
Sc (0.500, 0.500, 0.000)
Ti (0.000, 0.500, 0.500)
Ti (0.500, 0.000, 0.500)
W (0.500, 0.500, 0.500)

Energy of formation from the pure elements, eV per atom: 0.867
Density of states at the Fermi level, states/eV per cell: 4.86
Raw total energy, eV/atom: -6.37

---

# In12Sn7Hg

Crystalline In12Sn7Hg at its relaxed geometry (GGA-PBE, Alexandria via LeMat-Bulk).

a = 10.533 Å, b = 10.533 Å, c = 10.533 Å
α = 116.18°, β = 116.18°, γ = 116.18°
Positions (direct):
In (0.012, 0.370, 0.371)
In (0.098, 0.499, 0.902)
In (0.098, 0.902, 0.501)
In (0.370, 0.371, 0.012)
In (0.371, 0.012, 0.370)
In (0.499, 0.902, 0.098)
In (0.501, 0.098, 0.902)
In (0.629, 0.988, 0.630)
In (0.630, 0.629, 0.988)
In (0.902, 0.098, 0.499)
In (0.902, 0.501, 0.098)
In (0.988, 0.630, 0.629)
Sn (0.171, 0.171, 0.434)
Sn (0.171, 0.434, 0.171)
Sn (0.434, 0.171, 0.171)
Sn (0.500, 0.500, 0.500)
Sn (0.566, 0.829, 0.829)
Sn (0.829, 0.566, 0.829)
Sn (0.829, 0.829, 0.566)
Hg (0.000, 0.000, 0.000)

Energy of formation from the pure elements, eV per atom: 0.094
Density of states at the Fermi level, states/eV per cell: 7.94
Raw total energy, eV/atom: -2.97

---

# TaTcNi2

Crystalline TaTcNi2 at its relaxed geometry (GGA-PBE, Alexandria via LeMat-Bulk).

a = 4.282 Å, b = 4.282 Å, c = 4.282 Å
α = 60.00°, β = 60.00°, γ = 60.00°
Positions (direct):
Ta (0.000, 0.000, 0.000)
Tc (0.750, 0.750, 0.750)
Ni (0.250, 0.250, 0.250)
Ni (0.500, 0.500, 0.500)

Energy of formation from the pure elements, eV per atom: 0.009
Density of states at the Fermi level, states/eV per cell: 6.45
Distance to the lowest polymorph of the same formula, eV per atom: 0.225
Raw total energy, eV/atom: -8.44

---

# NaNi3Sb3

Crystalline NaNi3Sb3 at its relaxed geometry (GGA-PBE, Alexandria via LeMat-Bulk).

a = 8.437 Å, b = 8.437 Å, c = 8.437 Å
α = 48.98°, β = 48.98°, γ = 48.98°
Positions (direct):
Na (0.155, 0.155, 0.155)
Na (0.845, 0.845, 0.845)
Ni (0.038, 0.305, 0.780)
Ni (0.220, 0.962, 0.695)
Ni (0.305, 0.780, 0.038)
Ni (0.695, 0.220, 0.962)
Ni (0.780, 0.038, 0.305)
Ni (0.962, 0.695, 0.220)
Sb (0.075, 0.668, 0.458)
Sb (0.332, 0.542, 0.925)
Sb (0.458, 0.075, 0.668)
Sb (0.542, 0.925, 0.332)
Sb (0.668, 0.458, 0.075)
Sb (0.925, 0.332, 0.542)

ΔE_f (raw), eV per atom: -0.1201
Density of states at the Fermi level, states/eV per cell: 10.39
Raw total energy, eV/atom: -4.55